Record 1
## Hg3Sb2Br2 (GGA-PBE)

Data for an optimized crystal structure of Hg3Sb2Br2.

Cell and atoms, written as extended XYZ:
```
14
Lattice="6.020 0.000 0.000 0.000 8.327 0.000 -5.827 0.000 11.147" Properties=species:S:1:pos:R:3 pbc="T T T"
Hg 0.000 0.000 0.000
Hg -2.914 4.163 5.573
Hg -1.386 0.852 8.370
Hg 1.528 3.312 2.797
Hg -1.335 5.015 8.350
Hg 1.579 7.475 2.777
Sb 2.355 5.374 1.102
Sb -0.558 7.117 6.675
Sb 0.751 1.210 4.472
Sb -2.163 2.953 10.045
Br -1.714 1.164 3.547
Br -4.628 3.000 9.120
Br 4.820 5.327 2.027
Br 1.907 7.163 7.600
```

Output
space group: P2_1/c, No. 14
excess energy over the best structure of this formula in the dataset: 92.8 meV/atom



Record 2
## Hg2SbBr4 (GGA-PBE)

Data for an optimized crystal structure of Hg2SbBr4.

Cell and atoms, written as extended XYZ:
```
7
Lattice="-2.823 2.823 8.229 2.823 -2.823 8.229 2.823 2.823 -8.229" Properties=species:S:1:pos:R:3 pbc="T T T"
Hg 0.000 0.000 2.528
Hg 0.000 0.000 13.930
Sb 0.000 0.000 8.229
Br 2.823 0.000 0.000
Br 0.000 0.000 5.510
Br 0.000 2.823 0.000
Br 0.000 0.000 10.948
```

Output
space group: I4/mmm, No. 139
E: -1.89 eV per atom
density of states at the Fermi level: 0.665 states/eV/atom



Record 3
## Hg4SbBr3 (GGA-PBE)

Data for an optimized crystal structure of Hg4SbBr3.

Cell and atoms, written as extended XYZ:
```
16
Lattice="11.588 0.000 0.000 0.000 7.656 0.000 0.000 0.000 8.006" Properties=species:S:1:pos:R:3 pbc="T T T"
Hg 0.000 0.788 0.000
Hg 0.000 6.696 3.242
Hg 1.871 2.286 2.740
Hg 3.924 5.370 6.743
Hg 5.794 0.960 7.245
Hg 5.794 6.868 4.003
Hg 7.665 5.370 6.743
Hg 9.718 2.286 2.740
Sb 0.000 1.433 4.511
Sb 5.794 6.222 0.508
Br 0.000 4.787 1.509
Br 2.060 4.884 5.062
Br 3.734 2.772 1.059
Br 5.794 2.869 5.512
Br 7.855 2.772 1.059
Br 9.528 4.884 5.062
```

Output
space group: Pmn2_1, No. 31
E: -1.58 eV per atom
density of states at the Fermi level: 0.000 states/eV/atom



Record 4
## HgSbBr2 (GGA-PBE)

Data for an optimized crystal structure of HgSbBr2.

Cell and atoms, written as extended XYZ:
```
4
Lattice="1.847 1.066 10.260 -1.847 1.066 10.260 0.000 -2.133 10.260" Properties=species:S:1:pos:R:3 pbc="T T T"
Hg 0.000 0.000 0.000
Sb 0.000 0.000 15.391
Br 0.000 0.000 7.326
Br 0.000 0.000 23.455
```

Output
space group: R-3m, No. 166
density of states at the Fermi level: 0.768 states/eV/atom
excess energy over the best structure of this formula in the dataset: 220.4 meV/atom



Record 5
## Hg12Sb5Br3 (GGA-PBE)

Data for an optimized crystal structure of Hg12Sb5Br3.

Cell and atoms, written as extended XYZ:
```
80
Lattice="-8.930 8.930 8.930 8.930 -8.930 8.930 8.930 8.930 -8.930" Properties=species:S:1:pos:R:3 pbc="T T T"
Hg 2.383 -0.901 1.390
Hg 11.012 5.855 -5.366
Hg 8.029 -1.390 2.383
Hg 14.296 -2.082 3.075
Hg 1.390 2.383 -0.901
Hg 12.005 3.564 -2.082
Hg 11.313 0.901 1.390
Hg 11.012 -3.075 5.366
Hg 5.855 5.366 -2.082
Hg 7.540 2.383 0.901
Hg -0.901 1.390 2.383
Hg 5.366 -2.082 5.855
Hg 8.029 7.540 -2.383
Hg 5.366 2.082 3.075
Hg 7.540 -2.383 8.029
Hg 5.855 -5.366 11.012
Hg 2.383 8.029 -1.390
Hg 11.012 3.075 3.564
Hg 3.075 5.366 2.082
Hg 10.320 6.547 0.901
Hg 5.366 11.012 -3.075
Hg 8.029 1.390 6.547
Hg 2.082 3.075 5.366
Hg 2.383 0.901 7.540
Hg 6.547 8.029 1.390
Hg 6.848 5.855 3.564
Hg 0.901 7.540 2.383
Hg 3.564 -2.082 12.005
Hg -1.390 2.383 8.029
Hg 5.855 3.564 6.848
Hg -2.082 5.855 5.366
Hg 6.547 0.901 10.320
Hg 3.075 14.296 -2.082
Hg 1.390 11.313 0.901
Hg 3.564 6.848 5.855
Hg 0.901 1.390 11.313
Hg 3.564 11.012 3.075
Hg 9.831 7.540 6.547
Hg 1.390 6.547 8.029
Hg 3.075 3.564 11.012
Hg -2.082 12.005 3.564
Hg -2.383 8.029 7.540
Hg -3.075 5.366 11.012
Hg 7.540 6.547 9.831
Hg -5.366 11.012 5.855
Hg 0.901 10.320 6.547
Hg -2.082 3.075 14.296
Hg 6.547 9.831 7.540
Sb 0.000 0.000 0.000
Sb 4.465 4.465 -4.465
Sb 4.465 -4.465 4.465
Sb 8.930 0.000 0.000
Sb 13.395 2.233 0.000
Sb 8.930 -4.465 6.698
Sb 6.698 8.930 -4.465
Sb 6.698 0.000 4.465
Sb 4.465 6.698 0.000
Sb 8.930 4.465 2.233
Sb -4.465 4.465 4.465
Sb 0.000 8.930 0.000
Sb 0.000 0.000 8.930
Sb 4.465 4.465 4.465
Sb 0.000 4.465 6.698
Sb 4.465 2.233 8.930
Sb 2.233 8.930 4.465
Sb 2.233 0.000 13.395
Sb 0.000 13.395 2.233
Sb -4.465 6.698 8.930
Br 4.465 2.233 0.000
Br 8.930 4.465 -2.233
Br 2.233 0.000 4.465
Br 11.163 0.000 4.465
Br 0.000 4.465 2.233
Br 4.465 -2.233 8.930
Br 4.465 11.163 0.000
Br 8.930 4.465 6.698
Br -2.233 8.930 4.465
Br 6.698 8.930 4.465
Br 0.000 4.465 11.163
Br 4.465 6.698 8.930
```

Output
space group: Ia-3d, No. 230
E: -1.42 eV per atom
density of states at the Fermi level: 0.497 states/eV/atom



Record 6
## Hg2SbBr (GGA-PBE)

Data for an optimized crystal structure of Hg2SbBr.

Cell and atoms, written as extended XYZ:
```
4
Lattice="3.450 0.000 0.000 0.000 5.879 0.000 -1.206 0.000 5.623" Properties=species:S:1:pos:R:3 pbc="T T T"
Hg 0.281 0.000 1.448
Hg 1.963 0.000 4.175
Sb 1.122 2.939 2.812
Br 1.725 2.939 0.000
```

Output
space group: P2/m, No. 10
density of states at the Fermi level: 0.333 states/eV/atom
excess energy over the best structure of this formula in the dataset: 211.7 meV/atom